[1]
Computed, not measured: a relaxed Cs2In3Au4 crystal at the GGA-PBE level of DFT.

The structure in POSCAR format:
```
Cs2In3Au4
1.0
8.485 0.000 0.000
0.000 8.277 0.000
-0.519 0.000 7.903
Cs In Au
4 6 8
direct
0.164 0.159 0.148
0.164 0.341 0.648
0.836 0.659 0.352
0.836 0.841 0.852
0.312 0.688 0.334
0.312 0.812 0.834
0.500 0.000 0.500
0.500 0.500 0.000
0.688 0.188 0.166
0.688 0.312 0.666
0.144 0.582 0.030
0.144 0.918 0.530
0.495 0.602 0.648
0.495 0.898 0.148
0.505 0.102 0.852
0.505 0.398 0.352
0.856 0.082 0.470
0.856 0.418 0.970
```

## Properties
energy relative to the elements = -255.6 meV/atom
DFT total energy = -2.8147 eV/atom
SG = P2_1/c (14)
magnetic moment = 0.00 μB per formula unit

---

[2]
Computed, not measured: a relaxed Cs5InAu4 crystal at the GGA-PBE level of DFT.

The structure in POSCAR format:
```
Cs5InAu4
1.0
11.284 -2.503 0.000
11.284 2.503 0.000
-3.022 0.000 8.358
Cs In Au
5 1 4
direct
0.000 0.000 0.000
0.307 0.307 0.709
0.364 0.364 0.251
0.636 0.636 0.749
0.693 0.693 0.291
0.000 0.000 0.500
0.117 0.117 0.442
0.466 0.466 0.649
0.534 0.534 0.351
0.883 0.883 0.558
```

## Properties
energy relative to the elements = -217.8 meV/atom
DFT total energy = -2.2294 eV/atom
SG = C2/m (12)
magnetic moment = 0.00 μB per formula unit

---

[3]
Computed, not measured: a relaxed Cs2In12Au7 crystal at the GGA-PBE level of DFT.

The structure in POSCAR format:
```
Cs2In12Au7
1.0
11.598 0.000 0.000
-5.799 10.045 0.000
0.000 0.000 4.683
Cs In Au
2 12 7
direct
0.000 0.000 0.000
0.333 0.667 0.500
0.037 0.275 0.500
0.113 0.715 0.000
0.238 0.963 0.500
0.285 0.398 0.000
0.385 0.189 0.000
0.552 0.431 0.500
0.569 0.121 0.500
0.602 0.887 0.000
0.725 0.762 0.500
0.804 0.615 0.000
0.811 0.196 0.000
0.879 0.448 0.500
0.057 0.444 0.000
0.266 0.239 0.500
0.387 0.943 0.000
0.556 0.613 0.000
0.667 0.333 0.000
0.761 0.027 0.500
0.973 0.734 0.500
```

## Properties
energy relative to the elements = -211.4 meV/atom
DFT total energy = -2.9500 eV/atom
SG = P-6 (174)
magnetic moment = 0.00 μB per formula unit

---

[4]
Computed, not measured: a relaxed CsIn3Au3 crystal at the GGA-PBE level of DFT.

The structure in POSCAR format:
```
CsIn3Au3
1.0
3.765 2.173 9.396
-3.765 2.173 9.396
0.000 -4.347 9.396
Cs In Au
2 6 6
direct
0.154 0.154 0.154
0.846 0.846 0.846
0.162 0.310 0.668
0.310 0.668 0.162
0.332 0.838 0.690
0.668 0.162 0.310
0.690 0.332 0.838
0.838 0.690 0.332
0.070 0.249 0.509
0.249 0.509 0.070
0.491 0.930 0.751
0.509 0.070 0.249
0.751 0.491 0.930
0.930 0.751 0.491
```

## Properties
energy relative to the elements = -201.5 meV/atom
DFT total energy = -2.9016 eV/atom
SG = R-3 (148)
magnetic moment = 0.00 μB per formula unit
energy above the lowest structure with this stoichiometry = 0.0 meV per atom